[1]
## LuCuSnSe3 (GGA-PBE)

Data for crystalline LuCuSnSe3 at its relaxed geometry.

Values from the calculation:
space group: Cmcm
distance to the lowest polymorph of the same formula: 2 meV per atom
crystal system: orthorhombic

Unit cell a=7.0136 b=7.0136 c=10.3777 alpha=90.00 beta=90.00 gamma=33.03
Closest atoms and distances in Å follow each position.
Fractional positions:
1 Cu 0.4679 0.4679 0.0000  4 Se 2.45-2.51
2 Cu 0.5321 0.5321 0.5000  4 Se 2.45-2.51
3 Lu 0.0000 0.0000 0.2500  6 Se 2.81-2.83
4 Lu 0.0000 0.0000 0.7500  6 Se 2.81-2.83
5 Se 0.0810 0.0810 0.0000  2 Cu 2.51
6 Se 0.3586 0.3586 0.1887  1 Cu 2.45
7 Se 0.6414 0.6414 0.3113  1 Cu 2.45
8 Se 0.9190 0.9190 0.5000  2 Cu 2.51
9 Se 0.6414 0.6414 0.6887  1 Cu 2.45
10 Se 0.3586 0.3586 0.8113  1 Cu 2.45
11 Sn 0.7606 0.7606 0.0000  6 Se 3.09-3.13, 2 Cu 3.43
12 Sn 0.2394 0.2394 0.5000  6 Se 3.09-3.13, 2 Cu 3.43



[2]
## TlW3S5 (GGA-PBE)

Data for crystalline TlW3S5 at its relaxed geometry.

Values from the calculation:
uncorrected energy: -6.969 eV/atom
space group: P6/mmm
crystal system: hexagonal

Unit cell a=5.6016 b=5.6016 c=7.1962 alpha=90.00 beta=90.00 gamma=120.00
Closest atoms and distances in Å follow each position.
Fractional positions:
1 S 0.6667 0.3333 0.2431  3 W 2.46
2 S 0.3333 0.6667 0.2431  3 W 2.46
3 S 0.0000 0.0000 0.5000  6 W 2.80
4 S 0.6667 0.3333 0.7569  3 W 2.46
5 S 0.3333 0.6667 0.7569  3 W 2.46
6 Tl 0.0000 0.0000 0.0000  14 S 3.60-3.68
7 W 0.5000 0.0000 0.5000  4 S 2.46
8 W 0.0000 0.5000 0.5000  4 S 2.46
9 W 0.5000 0.5000 0.5000  4 S 2.46



[3]
## Dy2BrNCl2 (GGA-PBE)

Data for crystalline Dy2BrNCl2 at its relaxed geometry.

Values from the calculation:
space group: C2/m
distance to the lowest polymorph of the same formula: 0 meV per atom
crystal system: monoclinic

Unit cell a=8.5940 b=8.5940 c=10.9570 alpha=120.93 beta=120.93 gamma=25.89
Closest atoms and distances in Å follow each position.
Fractional positions:
1 Br 0.6612 0.6612 0.0173  3 Dy 2.92-3.03
2 Br 0.3388 0.3388 0.9827  3 Dy 2.92-3.03
3 Cl 0.0444 0.0444 0.2549  3 Dy 2.74-2.80
4 Cl 0.7857 0.7857 0.3911  3 Dy 2.74-2.87
5 Cl 0.2143 0.2143 0.6089  3 Dy 2.74-2.87
6 Cl 0.9556 0.9556 0.7451  3 Dy 2.74-2.80
7 Dy 0.8650 0.8650 0.2144  2 N 2.29
8 Dy 0.5815 0.5815 0.4557  2 N 2.24
9 Dy 0.4185 0.4185 0.5443  2 N 2.24
10 Dy 0.1350 0.1350 0.7856  2 N 2.29
11 N 0.4249 0.4249 0.3456  4 Dy 2.24-2.29
12 N 0.5751 0.5751 0.6544  4 Dy 2.24-2.29



[4]
## Ta5Re (GGA-PBE)

Data for crystalline Ta5Re at its relaxed geometry.

Values from the calculation:
energy relative to the elements: 291.2 meV/atom
space group: P6_3/mmc
distance to the lowest polymorph of the same formula: 362 meV per atom
crystal system: hexagonal

Unit cell a=5.3811 b=5.3811 c=17.4319 alpha=90.00 beta=90.00 gamma=120.00
Closest atoms and distances in Å follow each position.
Fractional positions:
1 Re 0.6667 0.3333 0.1493  15 Ta 3.03-3.26
2 Re 0.6667 0.3333 0.3507  15 Ta 3.03-3.26
3 Re 0.3333 0.6667 0.6493  15 Ta 3.03-3.26
4 Re 0.3333 0.6667 0.8507  15 Ta 3.03-3.26
5 Ta 0.5000 0.0000 0.0000  6 Ta 2.68-2.69
6 Ta 0.0000 0.5000 0.0000  6 Ta 2.68-2.69
7 Ta 0.5000 0.5000 0.0000  6 Ta 2.68-2.69
8 Ta 0.0000 0.0000 0.0935  13 Ta 3.12-3.26, 3 Re 3.26
9 Ta 0.3333 0.6667 0.1251  6 Ta 2.68-2.70
10 Ta 0.1627 0.3255 0.2500  6 Ta 2.63-2.75
11 Ta 0.1627 0.8373 0.2500  6 Ta 2.63-2.75
12 Ta 0.6745 0.8373 0.2500  6 Ta 2.63-2.75
13 Ta 0.3333 0.6667 0.3749  6 Ta 2.68-2.70
14 Ta 0.0000 0.0000 0.4065  13 Ta 3.12-3.26, 3 Re 3.26
15 Ta 0.5000 0.0000 0.5000  6 Ta 2.68-2.69
16 Ta 0.0000 0.5000 0.5000  6 Ta 2.68-2.69
17 Ta 0.5000 0.5000 0.5000  6 Ta 2.68-2.69
18 Ta 0.0000 0.0000 0.5935  13 Ta 3.12-3.26, 3 Re 3.26
19 Ta 0.6667 0.3333 0.6251  6 Ta 2.68-2.70
20 Ta 0.3255 0.1627 0.7500  6 Ta 2.63-2.75
21 Ta 0.8373 0.1627 0.7500  6 Ta 2.63-2.75
22 Ta 0.8373 0.6745 0.7500  6 Ta 2.63-2.75
23 Ta 0.6667 0.3333 0.8749  6 Ta 2.68-2.70
24 Ta 0.0000 0.0000 0.9065  13 Ta 3.12-3.26, 3 Re 3.26



[5]
## MgNbGaFe (GGA-PBE)

Data for crystalline MgNbGaFe at its relaxed geometry.

Values from the calculation:
space group: F-43m
distance to the lowest polymorph of the same formula: 0 meV per atom
crystal system: cubic

Unit cell a=4.3472 b=4.3472 c=4.3472 alpha=60.00 beta=60.00 gamma=60.00
Closest atoms and distances in Å follow each position.
Fractional positions:
1 Fe 0.7500 0.7500 0.7500  4 Nb 2.66, 4 Ga 2.66
2 Ga 0.0000 0.0000 0.0000  4 Mg 2.66, 4 Fe 2.66
3 Mg 0.2500 0.2500 0.2500  4 Ga 2.66, 4 Nb 2.66
4 Nb 0.5000 0.5000 0.5000  4 Mg 2.66, 4 Fe 2.66



[6]
## SmPIrO (GGA-PBE)

Data for crystalline SmPIrO at its relaxed geometry.

Values from the calculation:
space group: P4/nmm
distance to the lowest polymorph of the same formula: 0 meV per atom
crystal system: tetragonal

Unit cell a=3.9774 b=3.9774 c=8.2790 alpha=90.00 beta=90.00 gamma=90.00
Closest atoms and distances in Å follow each position.
Fractional positions:
1 Ir 0.5000 0.0000 0.5000  4 P 2.38
2 Ir 0.0000 0.5000 0.5000  4 P 2.38
3 O 0.5000 0.0000 0.0000  4 Sm 2.30
4 O 0.0000 0.5000 0.0000  4 Sm 2.30
5 P 0.5000 0.5000 0.3425  4 Ir 2.38
6 P 0.0000 0.0000 0.6575  4 Ir 2.38
7 Sm 0.0000 0.0000 0.1402  4 O 2.30
8 Sm 0.5000 0.5000 0.8598  4 O 2.30



[7]
## LaY2Ag4Sn4 (GGA-PBE)

Data for crystalline LaY2Ag4Sn4 at its relaxed geometry.

Values from the calculation:
uncorrected energy: -4.649 eV/atom
space group: Immm
crystal system: orthorhombic

Unit cell a=8.8700 b=8.8700 c=8.8700 alpha=150.13 beta=129.82 gamma=59.50
Closest atoms and distances in Å follow each position.
Fractional positions:
1 Ag 0.6334 0.3295 0.3039  4 Sn 2.76-2.85, 1 Ag 2.95
2 Ag 0.9744 0.6705 0.3039  4 Sn 2.76-2.85, 1 Ag 2.95
3 Ag 0.0256 0.3295 0.6961  4 Sn 2.76-2.85, 1 Ag 2.95
4 Ag 0.3666 0.6705 0.6961  4 Sn 2.76-2.85, 1 Ag 2.95
5 La 0.0000 0.0000 0.0000  6 Sn 3.27-3.37
6 Sn 0.2189 0.2189 0.0000  6 Ag 2.82-2.85
7 Sn 0.7811 0.7811 0.0000  6 Ag 2.82-2.85
8 Sn 0.6898 0.5000 0.1898  2 Ag 2.76, 1 Sn 2.86
9 Sn 0.3102 0.5000 0.8102  2 Ag 2.76, 1 Sn 2.86
10 Y 0.6276 0.1276 0.5000  6 Sn 3.29-3.34, 6 Ag 3.30-3.44
11 Y 0.3724 0.8724 0.5000  6 Sn 3.29-3.34, 6 Ag 3.30-3.44



[8]
## BaHgTeO (GGA-PBE)

Data for crystalline BaHgTeO at its relaxed geometry.

Values from the calculation:
space group: Pbca
distance to the lowest polymorph of the same formula: 140 meV per atom
crystal system: orthorhombic

Unit cell a=7.5962 b=8.9245 c=14.9811 alpha=90.00 beta=90.00 gamma=90.00
Closest atoms and distances in Å follow each position.
Fractional positions:
1 Ba 0.0471 0.2249 0.1532  2 O 2.51-2.52
2 Ba 0.4529 0.7249 0.1532  2 O 2.51-2.52
3 Ba 0.5471 0.2249 0.3468  2 O 2.51-2.52
4 Ba 0.9529 0.7249 0.3468  2 O 2.51-2.52
5 Ba 0.0471 0.2751 0.6532  2 O 2.51-2.52
6 Ba 0.4529 0.7752 0.6532  2 O 2.51-2.52
7 Ba 0.5471 0.2751 0.8468  2 O 2.51-2.52
8 Ba 0.9529 0.7752 0.8468  2 O 2.51-2.52
9 Hg 0.5252 0.3169 0.1084  1 O 2.08
10 Hg 0.9748 0.8169 0.1084  1 O 2.08
11 Hg 0.0252 0.3169 0.3916  1 O 2.08
12 Hg 0.4748 0.8169 0.3916  1 O 2.08
13 Hg 0.5252 0.1831 0.6084  1 O 2.08
14 Hg 0.9748 0.6831 0.6084  1 O 2.08
15 Hg 0.0252 0.1831 0.8916  1 O 2.08
16 Hg 0.4748 0.6831 0.8916  1 O 2.08
17 O 0.3576 0.2442 0.2095  1 Hg 2.08
18 O 0.1424 0.7442 0.2095  1 Hg 2.08
19 O 0.8576 0.2442 0.2905  1 Hg 2.08
20 O 0.6424 0.7442 0.2905  1 Hg 2.08
21 O 0.3576 0.2558 0.7095  1 Hg 2.08
22 O 0.1424 0.7558 0.7095  1 Hg 2.08
23 O 0.8576 0.2558 0.7905  1 Hg 2.08
24 O 0.6424 0.7558 0.7905  1 Hg 2.08
25 Te 0.7811 0.4715 0.0271  1 Hg 2.68
26 Te 0.7189 0.9715 0.0271  1 Hg 2.68
27 Te 0.2811 0.4715 0.4729  1 Hg 2.68
28 Te 0.2189 0.9715 0.4729  1 Hg 2.68
29 Te 0.7811 0.0285 0.5271  1 Hg 2.68
30 Te 0.7189 0.5285 0.5271  1 Hg 2.68
31 Te 0.2811 0.0285 0.9729  1 Hg 2.68
32 Te 0.2189 0.5285 0.9729  1 Hg 2.68



[9]
## YTlAu2 (GGA-PBE)

Data for crystalline YTlAu2 at its relaxed geometry.

Values from the calculation:
uncorrected energy: -4.286 eV/atom
space group: F-43m
crystal system: cubic

Unit cell a=4.9593 b=4.9593 c=4.9593 alpha=60.00 beta=60.00 gamma=60.00
Closest atoms and distances in Å follow each position.
Fractional positions:
1 Au 0.0000 0.0000 0.0000  4 Y 3.04, 4 Au 3.04
2 Au 0.7500 0.7500 0.7500  4 Tl 3.04, 4 Au 3.04
3 Tl 0.5000 0.5000 0.5000  4 Au 3.04, 4 Y 3.04
4 Y 0.2500 0.2500 0.2500  4 Tl 3.04, 4 Au 3.04



[10]
## GdHfAsO (GGA-PBE)

Data for crystalline GdHfAsO at its relaxed geometry.

Values from the calculation:
space group: Pmma
distance to the lowest polymorph of the same formula: 173 meV per atom
crystal system: orthorhombic

Unit cell a=5.1585 b=4.0440 c=7.6247 alpha=90.00 beta=90.00 gamma=90.00
Closest atoms and distances in Å follow each position.
Fractional positions:
1 As 0.2500 0.0000 0.3926  3 Hf 2.72-2.80, 2 Gd 2.81
2 As 0.7500 0.0000 0.6074  3 Hf 2.72-2.80, 2 Gd 2.81
3 Gd 0.2500 0.5000 0.1370  3 O 2.37-2.59
4 Gd 0.7500 0.5000 0.8630  3 O 2.37-2.59
5 Hf 0.7500 0.0000 0.2513  2 O 2.11
6 Hf 0.2500 0.0000 0.7487  2 O 2.11
7 O 0.7500 0.5000 0.1736  2 Hf 2.11
8 O 0.2500 0.5000 0.8264  2 Hf 2.11